#1
Computed, not measured: SmDy2Tc after structural relaxation at the PBE-GGA level of DFT.

Cell lengths 6.3258, 7.4729, 9.2050 Å; angles 90.00, 90.00, 90.00 degrees
Last column: nearest neighbours and their distance in Å.
Positions (direct):
Dy: 0.1591 0.6760 0.0642  3 Tc 2.86-3.20
Tc: 0.9568 0.6146 0.7500  2 Sm 2.78-2.88, 4 Dy 2.86-2.99
Dy: 0.1591 0.6760 0.4358  3 Tc 2.86-3.20
Sm: 0.1272 0.9572 0.7500  2 Tc 2.78-2.88
Dy: 0.3409 0.1760 0.4358  3 Tc 2.86-3.20
Sm: 0.8728 0.0428 0.2500  2 Tc 2.78-2.88
Tc: 0.4568 0.8854 0.2500  2 Sm 2.78-2.88, 4 Dy 2.86-2.99
Dy: 0.3409 0.1760 0.0642  3 Tc 2.86-3.20
Dy: 0.8409 0.3240 0.9358  3 Tc 2.86-3.20
Dy: 0.6591 0.8240 0.9358  3 Tc 2.86-3.20
Dy: 0.6591 0.8240 0.5642  3 Tc 2.86-3.20
Sm: 0.3728 0.4572 0.7500  2 Tc 2.78-2.88
Tc: 0.0432 0.3854 0.2500  2 Sm 2.78-2.88, 4 Dy 2.86-2.99
Dy: 0.8409 0.3240 0.5642  3 Tc 2.86-3.20
Sm: 0.6272 0.5428 0.2500  2 Tc 2.78-2.88
Tc: 0.5432 0.1146 0.7500  2 Sm 2.78-2.88, 4 Dy 2.86-2.99


#2
Computed, not measured: SmDy2Tc after structural relaxation at the PBE-GGA level of DFT.

Cell lengths 3.4271, 3.4271, 11.2113 Å; angles 81.21, 81.21, 60.00 degrees
Last column: nearest neighbours and their distance in Å.
Positions (direct):
Tc: 0.5000 0.5000 0.5000  6 Dy 2.83
Dy: 0.1057 0.1057 0.6829  3 Tc 2.83
Dy: 0.8943 0.8943 0.3171  3 Tc 2.83
Sm: 0.0000 0.0000 0.0000  6 Sm 3.43, 2 Dy 3.50


The most stable of them is #1.